# CuRh2W

Crystalline CuRh2W at its relaxed geometry (PBE, Alexandria).

a = 2.7407 Å, b = 3.9173 Å, c = 5.2946 Å
α = 90.00°, β = 90.10°, γ = 90.00°
Positions (direct):
1 Cu 0.0000 0.0000 0.0000
2 Rh 0.0011 0.0000 0.5028
3 Rh 0.4986 0.5000 0.2125
4 W 0.5021 0.5000 0.7443

Fermi-level density of states in states/eV per cell: 2.89
Offset from the most stable computed form in meV/atom: 109.1
Formation energy from the elements in eV/atom: -0.04
Theoretical density in g/cm3: 13.2